LiPr4Sm5 after structural relaxation, computed with PBE.

Cell and atoms, written as POSCAR:
```
LiPr4Sm5
1.0
3.685 0.000 0.000
0.000 3.685 0.000
0.000 0.000 24.595
Li Pr Sm
1 4 5
direct
0.000 0.000 0.000
0.000 0.000 0.184
0.000 0.000 0.395
0.000 0.000 0.605
0.000 0.000 0.816
0.500 0.500 0.081
0.500 0.500 0.289
0.500 0.500 0.500
0.500 0.500 0.711
0.500 0.500 0.919
```

Results
Electronic total energy: -0.1628 hartree per atom
Spin magnetization: 0.000 μB/cell
Space-group type: No. 123



Sm2EuHo after structural relaxation, computed with PBE.

Cell and atoms, written as POSCAR:
```
Sm2EuHo
1.0
1.787 1.032 12.666
-1.787 1.032 12.666
0.000 -2.064 12.666
Sm Eu Ho
2 1 1
direct
0.091 0.091 0.091
0.909 0.909 0.909
0.000 0.000 0.000
0.500 0.500 0.500
```

Results
Electronic total energy: -0.2179 hartree per atom
Spin magnetization: 7.876 μB/cell
Space-group type: No. 166
Energy above the lowest structure with this stoichiometry: 99 meV per atom



TcOs3 after structural relaxation, computed with PBE.

Cell and atoms, written as POSCAR:
```
TcOs3
1.0
2.754 0.000 0.000
-1.377 2.385 0.000
0.000 0.000 8.732
Tc Os
1 3
direct
0.000 0.000 0.000
0.000 0.000 0.500
0.667 0.333 0.250
0.667 0.333 0.750
```

Results
Electronic total energy: -0.4058 hartree per atom
Spin magnetization: 0.000 μB/cell
Space-group type: No. 187
Energy above the lowest structure with this stoichiometry: 46 meV per atom



Na3MnAg after structural relaxation, computed with PBE.

Cell and atoms, written as POSCAR:
```
Na3MnAg
1.0
5.549 0.000 0.000
0.000 5.549 0.000
0.000 0.000 5.549
Na Mn Ag
3 1 1
direct
0.000 0.000 0.500
0.000 0.500 0.000
0.500 0.000 0.000
0.500 0.500 0.500
0.000 0.000 0.000
```

Results
Electronic total energy: -0.0937 hartree per atom
Spin magnetization: 4.570 μB/cell
Space-group type: No. 221
Energy above the lowest structure with this stoichiometry: 0 meV per atom



HoSc2B6 after structural relaxation, computed with PBE.

Cell and atoms, written as POSCAR:
```
HoSc2B6
1.0
5.524 0.000 0.000
-2.762 4.784 0.000
0.000 0.000 3.654
Ho Sc B
1 2 6
direct
0.000 0.000 0.000
0.333 0.667 0.000
0.667 0.333 0.000
0.000 0.338 0.500
0.000 0.662 0.500
0.338 0.000 0.500
0.338 0.338 0.500
0.662 0.000 0.500
0.662 0.662 0.500
```

Results
Electronic total energy: -0.2610 hartree per atom
Spin magnetization: 0.000 μB/cell
Space-group type: No. 191
Energy above the lowest structure with this stoichiometry: 0 meV per atom



MgIn4Br after structural relaxation, computed with PBE.

Cell and atoms, written as POSCAR:
```
MgIn4Br
1.0
0.000 4.423 4.423
4.423 0.000 4.423
4.423 4.423 0.000
Mg In Br
1 4 1
direct
0.000 0.000 0.000
0.375 0.375 0.375
0.375 0.375 0.876
0.375 0.876 0.375
0.876 0.375 0.375
0.750 0.750 0.750
```

Results
Electronic total energy: -0.0870 hartree per atom
Spin magnetization: 0.000 μB/cell
Space-group type: No. 216



> What is the formula in the fourth record?

Na3MnAg



> What is the formula in the fifth record?

HoSc2B6



> Which of these has the lowest electronic total energy?

TcOs3